(1)
Here is crystalline SmMnClO2 at its relaxed geometry from Alexandria. Energies are from PBE+U.

For the total energy, the calculation gives -7.21 eV/atom. The value obtained for the total moment is 5.00 μB/f.u. The calculation puts the volume at 20.490 Å³/atom.

Lattice parameters (Å, degrees): 6.3601 4.1087 7.8785 90.00 95.59 90.00
Last column: nearest neighbours and their distance in Å.
Space group P2_1/m (No. 11)
One atom of each set of equivalent atoms:
Sm (0.1976, 0.2500, 0.1232) (multiplicity 2)  4 O 2.24-2.29
Mn (0.0660, 0.2500, 0.6388) (multiplicity 2)  4 O 2.08-2.20
Cl (0.4518, 0.2500, 0.8005) (multiplicity 2)  1 Mn 2.65
O (0.0420, 0.7500, 0.1136) (multiplicity 2)  1 Mn 2.13, 3 Sm 2.28-2.29
O (0.0596, 0.2500, 0.3745) (multiplicity 2)  3 Mn 2.08-2.20, 1 Sm 2.24


(2)
Here is crystalline MnSn2Cl2O2 at its relaxed geometry from Alexandria. Energies are from PBE+U.

For the total energy, the calculation gives -5.49 eV/atom. The value obtained for the total moment is 5.00 μB/f.u. The calculation puts the volume at 22.125 Å³/atom.

Lattice parameters (Å, degrees): 12.2945 3.6757 8.1383 90.00 122.62 90.00
Last column: nearest neighbours and their distance in Å.
Space group C2/m (No. 12)
One atom of each set of equivalent atoms:
Mn (0.0000, 0.0000, 0.0000) (multiplicity 2)  2 O 2.14
Sn (0.1911, 0.0000, 0.7838) (multiplicity 4)  3 O 2.22-2.26
Cl (0.0680, 0.5000, 0.2629) (multiplicity 4)  2 Mn 2.59
O (0.1916, 0.0000, 0.0564) (multiplicity 4)  1 Mn 2.14, 3 Sn 2.22-2.26


(3)
Here is crystalline Mn2SnCl2O2 at its relaxed geometry from Alexandria. Energies are from PBE+U.

For the total energy, the calculation gives -5.90 eV/atom. The value obtained for the total moment is 9.81 μB/f.u. The calculation puts the volume at 19.169 Å³/atom.

Lattice parameters (Å, degrees): 13.5967 3.4594 6.2326 90.00 113.74 90.00
Last column: nearest neighbours and their distance in Å.
Space group C2/m (No. 12)
One atom of each set of equivalent atoms:
Mn (0.2455, 0.0000, 0.2901) (multiplicity 4)  3 O 2.13-2.14
Sn (0.0000, 0.0000, 0.5000) (multiplicity 2)  2 O 2.23
Cl (0.1268, 0.5000, 0.9655) (multiplicity 4)  3 Mn 2.66-2.79
O (0.1688, 0.0000, 0.5282) (multiplicity 4)  3 Mn 2.13-2.14, 1 Sn 2.23


(4)
Here is crystalline Sr2MnClO3 at its relaxed geometry from Alexandria. Energies are from PBE+U.

For the total energy, the calculation gives -6.29 eV/atom. The value obtained for the total moment is 4.00 μB/f.u. The calculation puts the volume at 16.413 Å³/atom.

Lattice parameters (Å, degrees): 3.9327 3.9327 14.8568 90.00 90.00 90.00
Last column: nearest neighbours and their distance in Å.
Space group P4/nmm (No. 129, origin choice 2)
One atom of each set of equivalent atoms:
Sr (0.2500, 0.2500, 0.0910) (multiplicity 2)  1 O 2.44
Sr (0.2500, 0.2500, 0.3403) (multiplicity 2)  4 O 2.56
Mn (0.2500, 0.2500, 0.7904) (multiplicity 2)  5 O 1.99-2.02
Cl (0.2500, 0.2500, 0.5789) (multiplicity 2)  4 Sr 3.03, 1 Mn 3.14
O (0.2500, 0.2500, 0.9265) (multiplicity 2)  1 Mn 2.02
O (0.2500, 0.7500, 0.2295) (multiplicity 4)  2 Mn 1.99


(5)
Here is crystalline TaMn3Cl2O6 at its relaxed geometry from Alexandria. Energies are from PBE+U.

For the total energy, the calculation gives -7.28 eV/atom. The value obtained for the total moment is 12.00 μB/f.u. The calculation puts the volume at 14.065 Å³/atom.

Lattice parameters (Å, degrees): 10.4035 6.1372 5.4255 90.00 102.99 90.00
Last column: nearest neighbours and their distance in Å.
Space group C2/m (No. 12)
One atom of each set of equivalent atoms:
Ta (0.0000, 0.0000, 0.0000) (multiplicity 2)  6 O 2.02-2.03
Mn (0.0000, 0.5000, 0.5000) (multiplicity 2)  4 O 2.28, 2 Cl 2.43
Mn (0.2500, 0.2500, 0.0000) (multiplicity 4)  4 O 1.94-1.97
Cl (0.1948, 0.5000, 0.3241) (multiplicity 4)  3 Mn 2.43-2.50
O (0.0668, 0.2379, 0.8000) (multiplicity 8)  1 Mn 1.97, 1 Ta 2.03
O (0.1939, 0.0000, 0.1682) (multiplicity 4)  2 Mn 1.94, 1 Ta 2.02


(6)
Here is crystalline Ti2Mn2Cl2O5 at its relaxed geometry from Alexandria. Energies are from PBE+U.

For the total energy, the calculation gives -7.64 eV/atom. The value obtained for the total moment is 10.00 μB/f.u. The calculation puts the volume at 15.971 Å³/atom.

Lattice parameters (Å, degrees): 3.6936 3.6936 25.7545 90.00 90.00 90.00
Last column: nearest neighbours and their distance in Å.
Space group I4/mmm (No. 139)
One atom of each set of equivalent atoms:
Ti (0.0000, 0.0000, 0.0704) (multiplicity 4)  5 O 1.81-1.93
Mn (0.0000, 0.0000, 0.3564) (multiplicity 4)  4 O 2.27
Cl (0.0000, 0.0000, 0.1912) (multiplicity 4)  4 Mn 2.89, 1 Ti 3.11, 4 O 3.15
O (0.0000, 0.0000, 0.0000) (multiplicity 2)  2 Ti 1.81
O (0.0000, 0.5000, 0.0923) (multiplicity 8)  2 Ti 1.93


(7)
Here is crystalline UMn3Cl2O6 at its relaxed geometry from Alexandria. Energies are from PBE+U.

For the total energy, the calculation gives -7.29 eV/atom. The value obtained for the total moment is 8.97 μB/f.u. The calculation puts the volume at 14.681 Å³/atom.

Lattice parameters (Å, degrees): 10.8603 6.1932 5.3948 90.00 103.82 90.00
Last column: nearest neighbours and their distance in Å.
Space group C2/m (No. 12)
One atom of each set of equivalent atoms:
U (0.0000, 0.0000, 0.0000) (multiplicity 2)  6 O 2.11-2.12
Mn (0.0000, 0.5000, 0.5000) (multiplicity 2)  4 O 2.27
Mn (0.2500, 0.2500, 0.0000) (multiplicity 4)  4 O 1.95-1.98
Cl (0.1944, 0.5000, 0.2991) (multiplicity 4)  3 Mn 2.41-2.59
O (0.0717, 0.2436, 0.7993) (multiplicity 8)  1 Mn 1.98, 1 U 2.11
O (0.1976, 0.0000, 0.1694) (multiplicity 4)  2 Mn 1.95, 1 U 2.12


(8)
Here is crystalline Mn2ZnCl2O2 at its relaxed geometry from Alexandria. Energies are from PBE+U.

For the total energy, the calculation gives -5.64 eV/atom. The value obtained for the total moment is 10.00 μB/f.u. The calculation puts the volume at 16.729 Å³/atom.

Lattice parameters (Å, degrees): 12.1158 3.5582 6.1639 90.00 118.19 90.00
Last column: nearest neighbours and their distance in Å.
Space group C2/m (No. 12)
One atom of each set of equivalent atoms:
Mn (0.2382, 0.0000, 0.2793) (multiplicity 4)  3 O 2.13-2.18
Zn (0.0000, 0.0000, 0.5000) (multiplicity 2)  2 O 1.86
Cl (0.1096, 0.5000, 0.9193) (multiplicity 4)  3 Mn 2.65-2.69, 2 Zn 2.89
O (0.1592, 0.0000, 0.5236) (multiplicity 4)  1 Zn 1.86


| no. | theoretical density (Mg/m³) |
| --- | --- |
| 1 | 4.4 |
| 2 | 4.2 |
| 3 | 4.1 |
| 4 | 4.5 |
| 5 | 5.0 |
| 6 | 3.4 |
| 7 | 5.4 |
| 8 | 3.9 |